First-principles (meta-GGA SCAN) data for TlInAs2O7 at its PBEsol-relaxed geometry, as listed in Alexandria.

E_form (uncorrected): -1.437 eV/atom
Raw total energy: -18.686 eV per atom
Space-group type: P-1

a b c (Å): 7.8314 8.6320 10.5503
angles (deg): 88.62 89.93 74.24
Element x y z (fractional)
Tl 0.6789 0.9403 0.8217
Tl 0.3211 0.0597 0.1783
Tl 0.3484 0.5411 0.3228
Tl 0.6516 0.4589 0.6772
In 0.2623 0.2616 0.5939
In 0.7377 0.7384 0.4061
In 0.2636 0.7707 0.8987
In 0.7364 0.2293 0.1013
As 0.3736 0.3323 0.8968
As 0.9342 0.3270 0.3562
As 0.6264 0.6677 0.1032
As 0.0658 0.6730 0.6438
As 0.6581 0.1469 0.4277
As 0.9503 0.7966 0.1330
As 0.3419 0.8531 0.5723
As 0.0497 0.2034 0.8670
O 0.5116 0.7828 0.9811
O 0.9533 0.7764 0.2936
O 0.0382 0.7499 0.7922
O 0.5071 0.2906 0.5073
O 0.8724 0.6536 0.5851
O 0.8278 0.9719 0.0662
O 0.8544 0.6470 0.0706
O 0.4929 0.7094 0.4927
O 0.6892 0.9623 0.4952
O 0.2384 0.5063 0.6354
O 0.9618 0.2501 0.2078
O 0.0467 0.2236 0.7064
O 0.3108 0.0377 0.5048
O 0.1276 0.3464 0.4149
O 0.3928 0.8325 0.7295
O 0.8359 0.2630 0.9165
O 0.1722 0.0281 0.9338
O 0.5962 0.4826 0.1194
O 0.4038 0.5174 0.8806
O 0.1641 0.7370 0.0835
O 0.6072 0.1675 0.2705
O 0.4273 0.2187 0.7647
O 0.4884 0.2172 0.0189
O 0.1317 0.8164 0.5448
O 0.5727 0.7813 0.2353
O 0.8683 0.1836 0.4552
O 0.1456 0.3530 0.9294
O 0.7616 0.4937 0.3646


First-principles (meta-GGA SCAN) data for InAsOs2 at its PBEsol-relaxed geometry, as listed in Alexandria.

Offset from the most stable computed form: 0 meV per atom
Raw total energy: -49.037 eV per atom
Space-group type: P4mm
Formation enthalpy at 0 K: 296.8 meV per atom

a b c (Å): 2.8650 2.8650 8.1473
angles (deg): 90.00 90.00 90.00
Element x y z (fractional)
As 0.0000 0.0000 0.4502
Os 0.0000 0.0000 0.0311
Os 0.5000 0.5000 0.2415
In 0.5000 0.5000 0.7772


First-principles (meta-GGA SCAN) data for InAsOs2 at its PBEsol-relaxed geometry, as listed in Alexandria.

Offset from the most stable computed form: 334 meV per atom
Raw total energy: -48.703 eV per atom
Space-group type: Immm
Formation enthalpy at 0 K: 630.8 meV per atom

a b c (Å): 2.9387 4.9660 5.2450
angles (deg): 118.26 106.27 90.00
Element x y z (fractional)
As 0.5000 0.0000 0.0000
Os 0.7763 0.7763 0.5525
Os 0.2237 0.2237 0.4475
In 0.0000 0.5000 0.0000


First-principles (meta-GGA SCAN) data for In2AsOs at its PBEsol-relaxed geometry, as listed in Alexandria.

Raw total energy: -39.205 eV per atom
Space-group type: Pmmm
Formation enthalpy at 0 K: 505.7 meV per atom

a b c (Å): 3.4072 3.3959 6.3404
angles (deg): 90.00 90.00 90.00
Element x y z (fractional)
As 0.5000 0.5000 0.5000
Os 0.5000 0.5000 0.0000
In 0.0000 0.0000 0.7656
In 0.0000 0.0000 0.2344


First-principles (meta-GGA SCAN) data for In2AsP at its PBEsol-relaxed geometry, as listed in Alexandria.

Offset from the most stable computed form: 4 meV per atom
Raw total energy: -24.638 eV per atom
Space-group type: R3m
Formation enthalpy at 0 K: -297.6 meV per atom

a b c (Å): 4.2217 4.2217 7.3213
angles (deg): 73.24 73.24 60.00
Element x y z (fractional)
P 0.6253 0.6253 0.1240
As 0.1245 0.1245 0.6264
In 0.9976 0.9976 0.0071
In 0.5025 0.5025 0.4925


First-principles (meta-GGA SCAN) data for InAsP at its PBEsol-relaxed geometry, as listed in Alexandria.

Raw total energy: -20.895 eV per atom
Space-group type: Fmm2
Formation enthalpy at 0 K: 430.1 meV per atom

a b c (Å): 3.1468 3.1468 7.1703
angles (deg): 97.07 97.07 116.06
Element x y z (fractional)
P 0.3521 0.3521 0.7043
As 0.9737 0.9737 0.9474
In 0.6742 0.6742 0.3483


Copy entry 6 word for word.
First-principles (meta-GGA SCAN) data for InAsP at its PBEsol-relaxed geometry, as listed in Alexandria.

Raw total energy: -20.895 eV per atom
Space-group type: Fmm2
Formation enthalpy at 0 K: 430.1 meV per atom

a b c (Å): 3.1468 3.1468 7.1703
angles (deg): 97.07 97.07 116.06
Element x y z (fractional)
P 0.3521 0.3521 0.7043
As 0.9737 0.9737 0.9474
In 0.6742 0.6742 0.3483


> Among the records above, which one has the highest raw total energy?

TlInAs2O7


> Look up the raw total energy of the second one.

-49.037 eV per atom


> Look up the raw total energy of the second one.

-49.037 eV per atom